1.
Tb3PmAg4 (PBE-GGA, relaxed); DFT total energy = -32.447 eV for the cell shown; symmetry = No. 123; energy relative to the elements = -0.300 eV per atom; theoretical density = 8.8 Mg/m³; crystal system = tetragonal; DOS(E_F) = 5.6 states/eV/cell
1.0
5.204 0.000 0.000
0.000 5.204 0.000
0.000 0.000 7.319
Tb Pm Ag
3 1 4
Cartesian
0.000 0.000 0.000
0.000 0.000 3.659
2.602 2.602 0.000
2.602 2.602 3.659
0.000 2.602 1.784
0.000 2.602 5.535
2.602 0.000 1.784
2.602 0.000 5.535

***

2.
Tb2PmAg (PBE-GGA, relaxed); DFT total energy = -17.379 eV for the cell shown; symmetry = No. 123; energy relative to the elements = -0.129 eV per atom; theoretical density = 8.2 Mg/m³; crystal system = tetragonal; DOS(E_F) = 5.7 states/eV/cell; polymorph energy (0 for the lowest one) = 0.0000 eV per atom
1.0
3.646 0.000 0.000
0.000 3.646 0.000
0.000 0.000 8.690
Tb Pm Ag
2 1 1
Cartesian
0.000 0.000 1.821
0.000 0.000 6.869
1.823 1.823 4.345
1.823 1.823 0.000

***

3.
Tb2PmAg (PBE-GGA, relaxed); DFT total energy = -68.596 eV for the cell shown; symmetry = No. 63; energy relative to the elements = -0.072 eV per atom; theoretical density = 8.0 Mg/m³; crystal system = orthorhombic; DOS(E_F) = 22.3 states/eV/cell; polymorph energy (0 for the lowest one) = 0.0576 eV per atom
1.0
5.008 0.000 0.000
0.000 11.911 0.000
0.000 0.000 7.943
Tb Pm Ag
8 4 4
Cartesian
0.000 1.700 0.279
0.000 1.700 3.692
0.000 10.211 4.251
0.000 10.211 7.664
2.504 4.256 4.251
2.504 4.256 7.664
2.504 7.656 0.279
2.504 7.656 3.692
0.000 5.324 1.986
0.000 6.588 5.957
2.504 0.632 5.957
2.504 11.280 1.986
0.000 3.505 5.957
0.000 8.406 1.986
2.504 2.451 1.986
2.504 9.461 5.957